{"formula": "Tl10Hg6Sb", "functional": "PBE-GGA", "state": "relaxed", "lattice_angstrom": [[6.480, 0.000, 0.000], [0.000, 8.340, -4.815], [0.000, 0.000, 9.631]], "species": ["Tl", "Tl", "Tl", "Tl", "Tl", "Tl", "Tl", "Tl", "Tl", "Tl", "Hg", "Hg", "Hg", "Hg", "Hg", "Hg", "Sb"], "fractional_positions": [[0.779, 0.731, 0.731], [0.779, 0.000, 0.269], [0.779, 0.269, 0.000], [0.221, 0.269, 0.269], [0.221, 0.000, 0.731], [0.221, 0.731, 0.000], [0.500, 0.333, 0.667], [0.500, 0.667, 0.333], [0.000, 0.667, 0.333], [0.000, 0.333, 0.667], [0.726, 0.383, 0.383], [0.726, 0.000, 0.617], [0.726, 0.617, 0.000], [0.274, 0.617, 0.617], [0.274, 0.000, 0.383], [0.274, 0.383, 0.000], [0.500, 0.000, 0.000]], "m_tot_mub_per_fu": 0.000, "raw_formation_energy_mev_per_atom": 4, "dos_at_fermi_per_ev_atom": 0.495, "dft_energy_ev_per_atom": -1.737, "rho_g_cm3": 10.7}